A geometry-optimized TcAg2Ir structure. Source: Alexandria, functional PBE.

Structure (POSCAR):
```
TcAg2Ir
1.0
3.8901 0.0000 0.0000
0.0000 2.7877 0.0073
0.0000 2.7671 6.0040
Ag Ir Tc
2 1 1
direct
0.0000 0.9981 0.0021
0.5000 0.2529 0.2475
0.0000 0.4632 0.5367
0.5000 0.7858 0.7137
```

* density: 12.919 g/cm3
* electronic total energy: -5.971 eV/atom
* energy above the most stable polymorph in this dataset: 93.7 meV/atom
* crystal system: orthorhombic
* formation energy from the elements: 0.261 eV per atom



A geometry-optimized NiAgSe2 structure. Source: Alexandria, functional PBE.

Structure (POSCAR):
```
NiAgSe2
1.0
-4.6857 4.4804 4.4691
0.2913 -5.5788 -1.9598
1.3883 -1.9631 1.5811
Ag Ni Se
1 1 2
direct
0.0000 0.5000 0.5000
0.5000 0.5000 0.0000
0.0000 0.0000 0.0000
0.5000 0.0000 0.5000
```

* density: 6.983 g/cm3
* electronic total energy: -3.720 eV/atom
* energy above the most stable polymorph in this dataset: 327.4 meV/atom
* uncorrected formation energy: 0.1807 eV/atom
* crystal system: monoclinic



A geometry-optimized Pr8SiOs3Br4 structure. Source: Alexandria, functional PBE.

Structure (POSCAR):
```
Pr8SiOs3Br4
1.0
-6.5146 4.6897 2.6182
-5.8061 -5.6958 -4.2445
5.3179 -3.3579 5.6329
Pr Si Os Br
8 1 3 4
direct
0.2378 0.6949 0.9574
0.2377 0.6950 0.4754
0.2647 0.2946 0.5295
0.7196 0.6949 0.9574
0.2804 0.3051 0.0426
0.7353 0.7054 0.4705
0.7623 0.3050 0.5246
0.7622 0.3051 0.0426
0.0000 0.5000 0.0000
0.5000 0.5000 0.0000
0.5000 0.5000 0.5000
0.0000 0.5000 0.5000
0.5000 0.0000 0.0000
0.5000 0.0000 0.5000
0.0000 0.0000 0.0000
0.0000 0.0000 0.5000
```

* density: 7.081 g/cm3
* electronic total energy: -5.997 eV/atom
* uncorrected formation energy: -0.7441 eV/atom
* crystal system: trigonal



A geometry-optimized CdSeCl2 structure. Source: Alexandria, functional PBE.

Structure (POSCAR):
```
CdSeCl2
1.0
-1.2327 1.5936 -3.2500
-5.1599 -0.9811 1.4761
-1.7806 4.3312 2.7991
Cl Se Cd
2 1 1
direct
0.0000 0.9489 0.9489
0.0000 0.5511 0.5511
0.5000 0.2500 0.2500
0.5000 0.7500 0.7500
```

* density: 4.018 g/cm3
* electronic total energy: -2.230 eV/atom
* energy above the most stable polymorph in this dataset: 330.3 meV/atom
* uncorrected formation energy: -0.2070 eV/atom
* crystal system: orthorhombic



A geometry-optimized RbYPd2I structure. Source: Alexandria, functional PBE.

Structure (POSCAR):
```
RbYPd2I
1.0
5.2917 0.0000 0.0000
0.0000 5.2917 0.0000
0.0000 0.0000 5.6264
I Y Rb Pd
1 1 1 2
direct
0.0000 0.0000 0.0000
0.0000 0.0000 0.5000
0.5000 0.5000 0.5000
0.0000 0.5000 0.0000
0.5000 0.0000 0.0000
```

* density: 5.419 g/cm3
* electronic total energy: -3.604 eV/atom
* uncorrected formation energy: 0.2690 eV/atom
* crystal system: tetragonal



A geometry-optimized Pr2RhAu2 structure. Source: Alexandria, functional PBE.

Structure (POSCAR):
```
Pr2RhAu2
1.0
-3.2076 -0.5331 2.1760
-0.0463 -3.9595 -1.0383
4.3474 0.3616 6.4969
Pr Rh Au
2 1 2
direct
0.0000 0.6725 0.3450
0.0000 0.9264 0.8528
0.5000 0.1300 0.2600
0.5000 0.3106 0.6212
0.5000 0.5026 0.0052
```

* density: 10.688 g/cm3
* electronic total energy: -5.404 eV/atom
* crystal system: orthorhombic
* formation energy from the elements: -0.711 eV per atom